1.
A relaxed structure of NaTaZnPt. Source: the Open Quantum Materials Database, functional PBE.

Output
Energy above the most stable polymorph in this dataset, kJ/mol of atoms: 6.9
Total magnetization, μB/atom: 0.0003

CIF file:
```
data_NaTaZnPt
_cell_length_a 4.5540
_cell_length_b 4.5540
_cell_length_c 4.5540
_cell_angle_alpha 60.00
_cell_angle_beta 60.00
_cell_angle_gamma 60.00
_symmetry_space_group_name_H-M 'P 1'
_symmetry_Int_Tables_number 1
loop_
_symmetry_equiv_pos_as_xyz
'x,y,z'
loop_
_atom_site_label
_atom_site_fract_x
_atom_site_fract_y
_atom_site_fract_z
_atom_site_occupancy
Ta1 0.2500 0.2500 0.2500 1
Pt1 0.5000 0.5000 0.5000 1
Na1 0.7500 0.7500 0.7500 1
Zn1 0.0000 0.0000 0.0000 1
```

2.
A relaxed structure of LiZrCuS3. Source: the Open Quantum Materials Database, functional PBE.

Output
Energy above the most stable polymorph in this dataset, kJ/mol of atoms: 8.4
Total magnetization, μB/atom: 0.0006

CIF file:
```
data_LiZrCuS3
_cell_length_a 7.3355
_cell_length_b 3.7680
_cell_length_c 15.2551
_cell_angle_alpha 90.00
_cell_angle_beta 90.00
_cell_angle_gamma 90.00
_symmetry_space_group_name_H-M 'P 1'
_symmetry_Int_Tables_number 1
loop_
_symmetry_equiv_pos_as_xyz
'x,y,z'
loop_
_atom_site_label
_atom_site_fract_x
_atom_site_fract_y
_atom_site_fract_z
_atom_site_occupancy
S1 0.6267 0.7500 0.9497 1
S2 0.0086 0.2500 0.9137 1
S3 0.9914 0.7500 0.0863 1
S4 0.3733 0.2500 0.0503 1
S5 0.3282 0.7500 0.7895 1
S6 0.8733 0.2500 0.4497 1
S7 0.8282 0.7500 0.7105 1
S8 0.5086 0.2500 0.5863 1
S9 0.1718 0.2500 0.2895 1
S10 0.1267 0.7500 0.5503 1
S11 0.4914 0.7500 0.4137 1
S12 0.6718 0.2500 0.2105 1
Cu1 0.1337 0.2500 0.1455 1
Cu2 0.6337 0.2500 0.3545 1
Cu3 0.8663 0.7500 0.8545 1
Cu4 0.3663 0.7500 0.6455 1
Zr1 0.7569 0.7500 0.5529 1
Zr2 0.2569 0.7500 0.9471 1
Zr3 0.2431 0.2500 0.4471 1
Zr4 0.7431 0.2500 0.0529 1
Li1 0.0741 0.2500 0.7460 1
Li2 0.9259 0.7500 0.2540 1
Li3 0.4259 0.7500 0.2460 1
Li4 0.5741 0.2500 0.7540 1
```

3.
A relaxed structure of RbAg3Te4Mo. Source: the Open Quantum Materials Database, functional PBE.

Output
Calculated total energy, eV/cell: -34.198
Total magnetization, μB/atom: 0.2220

CIF file:
```
data_RbAg3Te4Mo
_cell_length_a 6.8793
_cell_length_b 6.8793
_cell_length_c 6.8793
_cell_angle_alpha 90.00
_cell_angle_beta 90.00
_cell_angle_gamma 90.00
_symmetry_space_group_name_H-M 'P 1'
_symmetry_Int_Tables_number 1
loop_
_symmetry_equiv_pos_as_xyz
'x,y,z'
loop_
_atom_site_label
_atom_site_fract_x
_atom_site_fract_y
_atom_site_fract_z
_atom_site_occupancy
Te1 0.2202 0.2202 0.7798 1
Te2 0.7798 0.7798 0.7798 1
Te3 0.7798 0.2202 0.2202 1
Te4 0.2202 0.7798 0.2202 1
Mo1 0.0000 0.0000 0.0000 1
Ag1 0.0000 0.0000 0.5000 1
Ag2 0.0000 0.5000 0.0000 1
Ag3 0.5000 0.0000 0.0000 1
Rb1 0.5000 0.5000 0.5000 1
```

4.
A relaxed structure of LuHfB. Source: the Open Quantum Materials Database, functional PBE.

Output
Energy above the most stable polymorph in this dataset, kJ/mol of atoms: 0.0
Total magnetization, μB/atom: 0.0037

CIF file:
```
data_LuHfB
_cell_length_a 4.2628
_cell_length_b 4.2628
_cell_length_c 4.2628
_cell_angle_alpha 60.00
_cell_angle_beta 60.00
_cell_angle_gamma 60.00
_symmetry_space_group_name_H-M 'P 1'
_symmetry_Int_Tables_number 1
loop_
_symmetry_equiv_pos_as_xyz
'x,y,z'
loop_
_atom_site_label
_atom_site_fract_x
_atom_site_fract_y
_atom_site_fract_z
_atom_site_occupancy
Hf1 0.2500 0.2500 0.2500 1
Lu1 0.7500 0.7500 0.7500 1
B1 0.0000 0.0000 0.0000 1
```

5.
A relaxed structure of SmGdEr. Source: the Open Quantum Materials Database, functional PBE.

Output
Energy above the most stable polymorph in this dataset, kJ/mol of atoms: 0.0
Total magnetization, μB/atom: 0.0313
E_form, kcal/mol of atoms: 16.31

CIF file:
```
data_SmGdEr
_cell_length_a 5.4313
_cell_length_b 5.4313
_cell_length_c 5.4313
_cell_angle_alpha 60.00
_cell_angle_beta 60.00
_cell_angle_gamma 60.00
_symmetry_space_group_name_H-M 'P 1'
_symmetry_Int_Tables_number 1
loop_
_symmetry_equiv_pos_as_xyz
'x,y,z'
loop_
_atom_site_label
_atom_site_fract_x
_atom_site_fract_y
_atom_site_fract_z
_atom_site_occupancy
Gd1 0.2500 0.2500 0.2500 1
Sm1 0.7500 0.7500 0.7500 1
Er1 0.0000 0.0000 0.0000 1
```

6.
A relaxed structure of BaSm2ZnO5. Source: the Open Quantum Materials Database, functional PBE.

Output
Energy above the most stable polymorph in this dataset, kJ/mol of atoms: 1.2
Total magnetization, μB/atom: 0.0000

CIF file:
```
data_BaSm2ZnO5
_cell_length_a 7.4560
_cell_length_b 7.4560
_cell_length_c 7.4560
_cell_angle_alpha 126.87
_cell_angle_beta 126.87
_cell_angle_gamma 78.46
_symmetry_space_group_name_H-M 'P 1'
_symmetry_Int_Tables_number 1
loop_
_symmetry_equiv_pos_as_xyz
'x,y,z'
loop_
_atom_site_label
_atom_site_fract_x
_atom_site_fract_y
_atom_site_fract_z
_atom_site_occupancy
Sm1 0.8270 0.6730 0.5000 1
Sm2 0.6730 0.1730 0.8461 1
Sm3 0.3270 0.8270 0.1539 1
Sm4 0.1730 0.3270 0.5000 1
O1 0.2254 0.0162 0.5000 1
O2 0.0162 0.5162 0.7908 1
O3 0.5000 0.5000 0.0000 1
O4 0.7254 0.2254 0.2092 1
O5 0.2746 0.7746 0.7908 1
O6 0.0000 0.0000 0.0000 1
O7 0.4838 0.2746 0.5000 1
O8 0.7746 0.9838 0.5000 1
O9 0.9838 0.4838 0.2092 1
O10 0.5162 0.7254 0.5000 1
Zn1 0.7500 0.2500 0.5000 1
Zn2 0.2500 0.7500 0.5000 1
Ba1 0.7500 0.7500 0.0000 1
Ba2 0.2500 0.2500 0.0000 1
```

7.
A relaxed structure of Re14C. Source: the Open Quantum Materials Database, functional PBE.

Output
Calculated total energy, eV/cell: -168.385
Total magnetization, μB/atom: 0.0004

CIF file:
```
data_Re14C
_cell_length_a 6.4054
_cell_length_b 6.4054
_cell_length_c 6.4054
_cell_angle_alpha 96.48
_cell_angle_beta 96.48
_cell_angle_gamma 96.48
_symmetry_space_group_name_H-M 'P 1'
_symmetry_Int_Tables_number 1
loop_
_symmetry_equiv_pos_as_xyz
'x,y,z'
loop_
_atom_site_label
_atom_site_fract_x
_atom_site_fract_y
_atom_site_fract_z
_atom_site_occupancy
Re1 0.2187 0.2187 0.9104 1
Re2 0.0896 0.7813 0.7813 1
Re3 0.2187 0.9104 0.2187 1
Re4 0.7813 0.0896 0.7813 1
Re5 0.3115 0.3115 0.3115 1
Re6 0.0000 0.3641 0.6359 1
Re7 0.0000 0.6359 0.3641 1
Re8 0.3641 0.0000 0.6359 1
Re9 0.6359 0.3641 0.0000 1
Re10 0.3641 0.6359 0.0000 1
Re11 0.6359 0.0000 0.3641 1
Re12 0.9104 0.2187 0.2187 1
Re13 0.7813 0.7813 0.0896 1
Re14 0.6885 0.6885 0.6885 1
C1 0.5000 0.5000 0.5000 1
```

8.
A relaxed structure of LuNiB2. Source: the Open Quantum Materials Database, functional PBE.

Output
Calculated total energy, eV/cell: -20.948
Total magnetization, μB/atom: 0.0005

CIF file:
```
data_LuNiB2
_cell_length_a 4.0371
_cell_length_b 4.0371
_cell_length_c 4.0371
_cell_angle_alpha 60.00
_cell_angle_beta 60.00
_cell_angle_gamma 60.00
_symmetry_space_group_name_H-M 'P 1'
_symmetry_Int_Tables_number 1
loop_
_symmetry_equiv_pos_as_xyz
'x,y,z'
loop_
_atom_site_label
_atom_site_fract_x
_atom_site_fract_y
_atom_site_fract_z
_atom_site_occupancy
B1 0.5000 0.5000 0.5000 1
B2 0.7500 0.7500 0.7500 1
Lu1 0.2500 0.2500 0.2500 1
Ni1 0.0000 0.0000 0.0000 1
```

9.
A relaxed structure of GaSbAu. Source: the Open Quantum Materials Database, functional PBE.

Output
Energy above the most stable polymorph in this dataset, kJ/mol of atoms: 3.8

CIF file:
```
data_GaSbAu
_cell_length_a 5.7910
_cell_length_b 4.6094
_cell_length_c 9.9895
_cell_angle_alpha 90.00
_cell_angle_beta 90.00
_cell_angle_gamma 90.00
_symmetry_space_group_name_H-M 'P 1'
_symmetry_Int_Tables_number 1
loop_
_symmetry_equiv_pos_as_xyz
'x,y,z'
loop_
_atom_site_label
_atom_site_fract_x
_atom_site_fract_y
_atom_site_fract_z
_atom_site_occupancy
Sb1 0.2332 0.7500 0.5850 1
Sb2 0.7332 0.7500 0.9150 1
Sb3 0.2668 0.2500 0.0850 1
Sb4 0.7668 0.2500 0.4150 1
Ga1 0.7734 0.2500 0.1058 1
Ga2 0.7266 0.7500 0.6058 1
Ga3 0.2734 0.2500 0.3942 1
Ga4 0.2266 0.7500 0.8942 1
Au1 0.7586 0.7500 0.2477 1
Au2 0.2414 0.2500 0.7523 1
Au3 0.7414 0.2500 0.7477 1
Au4 0.2586 0.7500 0.2523 1
```

10.
A relaxed structure of BaZrNb. Source: the Open Quantum Materials Database, functional PBE.

Output
Energy above the most stable polymorph in this dataset, kJ/mol of atoms: 0.0
Total magnetization, μB/atom: 0.1777

CIF file:
```
data_BaZrNb
_cell_length_a 5.0213
_cell_length_b 5.0213
_cell_length_c 5.0213
_cell_angle_alpha 60.00
_cell_angle_beta 60.00
_cell_angle_gamma 60.00
_symmetry_space_group_name_H-M 'P 1'
_symmetry_Int_Tables_number 1
loop_
_symmetry_equiv_pos_as_xyz
'x,y,z'
loop_
_atom_site_label
_atom_site_fract_x
_atom_site_fract_y
_atom_site_fract_z
_atom_site_occupancy
Nb1 0.0000 0.0000 0.0000 1
Ba1 0.2500 0.2500 0.2500 1
Zr1 0.7500 0.7500 0.7500 1
```

11.
A relaxed structure of Bi2Pd. Source: the Open Quantum Materials Database, functional PBE.

Output
Calculated total energy, eV/cell: -28.008

CIF file:
```
data_Bi2Pd
_cell_length_a 4.3038
_cell_length_b 5.7096
_cell_length_c 6.7937
_cell_angle_alpha 101.33
_cell_angle_beta 108.44
_cell_angle_gamma 90.03
_symmetry_space_group_name_H-M 'P 1'
_symmetry_Int_Tables_number 1
loop_
_symmetry_equiv_pos_as_xyz
'x,y,z'
loop_
_atom_site_label
_atom_site_fract_x
_atom_site_fract_y
_atom_site_fract_z
_atom_site_occupancy
Bi1 0.6547 0.8177 0.8088 1
Bi2 0.9259 0.7065 0.3520 1
Bi3 0.0741 0.2935 0.6480 1
Bi4 0.3453 0.1823 0.1912 1
Pd1 0.7252 0.3304 0.9505 1
Pd2 0.2748 0.6696 0.0495 1
```

12.
A relaxed structure of PmTeNO. Source: the Open Quantum Materials Database, functional PBE.

Output
Energy above the most stable polymorph in this dataset, kJ/mol of atoms: 42.8
Total magnetization, μB/atom: 0.0001

CIF file:
```
data_PmTeNO
_cell_length_a 3.7678
_cell_length_b 6.5763
_cell_length_c 6.7607
_cell_angle_alpha 90.00
_cell_angle_beta 90.00
_cell_angle_gamma 90.00
_symmetry_space_group_name_H-M 'P 1'
_symmetry_Int_Tables_number 1
loop_
_symmetry_equiv_pos_as_xyz
'x,y,z'
loop_
_atom_site_label
_atom_site_fract_x
_atom_site_fract_y
_atom_site_fract_z
_atom_site_occupancy
N1 0.0000 0.8653 0.3694 1
N2 0.0000 0.3653 0.6306 1
Te1 0.5000 0.5111 0.7210 1
Te2 0.5000 0.0111 0.2790 1
O1 0.5000 0.3676 0.1952 1
O2 0.5000 0.8676 0.8048 1
Pm1 0.0000 0.5099 0.3080 1
Pm2 0.0000 0.0100 0.6920 1
```